Computed, not measured: an optimized crystal structure of PrEr2PuSb4 at the PBE-GGA level of DFT.

Values from the calculation:
Raw total energy = -6.573 eV/atom
Raw formation energy = -7.86 eV per formula unit
Total magnetic moment = 5.04 Bohr magnetons per cell

Cell: 4.4334 7.6500 7.6672 Å, 70.48 90.00 90.00°
Last column: nearest neighbours and their distance in Å.
Fractional coordinates of all 8 atoms:
1 Er 0.5000 0.0000 0.5000  6 Sb 3.07
2 Er 0.0000 0.0000 0.0000  6 Sb 3.11
3 Sb 0.0000 0.2397 0.2577  3 Er 3.07-3.11, 1 Pu 3.14, 2 Pr 3.19
4 Sb 0.5000 0.2429 0.7481  3 Er 3.07-3.11, 2 Pu 3.15, 1 Pr 3.18
5 Sb 0.5000 0.7571 0.2519  3 Er 3.07-3.11, 2 Pu 3.15, 1 Pr 3.18
6 Sb 0.0000 0.7603 0.7423  3 Er 3.07-3.11, 1 Pu 3.14, 2 Pr 3.19
7 Pu 0.0000 0.5000 0.5000  6 Sb 3.14-3.15
8 Pr 0.5000 0.5000 0.0000  6 Sb 3.18-3.19